(1)
Compound: Rb2MnFeBr6
Source: the Alexandria database
Functional: PBE
Structure: relaxed

a b c (Å): 6.943 8.233 8.246
angles (deg): 65.67 69.09 69.39
Space group P1 (No. 1)
Unique sites:
Rb  0.000  0.000  0.000
Rb  0.492  0.496  0.493
Mn  0.868  0.833  0.595
Fe  0.378  0.102  0.316
Br  0.041  0.647  0.846
Br  0.472  0.982  0.620
Br  0.480  0.904  0.134
Br  0.540  0.352  0.127
Br  0.968  0.637  0.405
Br  0.986  0.138  0.435

## Properties
**Formation energy (no corrections)**: -10.51 eV/f.u.
**Size of the total moment**: 1.0 μB per formula unit
**DOS(E_F)**: 6.073 states/eV per cell

---

(2)
Compound: MnFeRhBr2
Source: the Alexandria database
Functional: PBE
Structure: relaxed

a b c (Å): 5.051 5.051 4.775
angles (deg): 90.00 90.00 90.00
Space group P4/mmm (No. 123)
Unique sites:
Mn  0.000  0.000  0.000
Fe  0.500  0.500  0.000
Rh  0.500  0.500  0.500
Br  0.000  0.500  0.500

## Properties
**Formation energy (no corrections)**: 4.03 eV/f.u.
**Size of the total moment**: 1.6 μB per formula unit
**DOS(E_F)**: 5.081 states/eV per cell

---

(3)
Compound: Mn2FeRhBr
Source: the Alexandria database
Functional: PBE
Structure: relaxed

a b c (Å): 4.244 4.244 4.219
angles (deg): 90.00 90.00 90.00
Space group P4/mmm (No. 123)
Unique sites:
Mn  0.000  0.500  0.000
Fe  0.000  0.000  0.500
Rh  0.500  0.500  0.500
Br  0.000  0.000  0.000

## Properties
**Formation energy (no corrections)**: 7.71 eV/f.u.
**Size of the total moment**: 0.0 μB per formula unit
**DOS(E_F)**: 8.169 states/eV per cell

---

(4)
Compound: MnFeRu2Br
Source: the Alexandria database
Functional: PBE
Structure: relaxed

a b c (Å): 4.557 4.557 4.412
angles (deg): 90.00 90.00 90.00
Space group P4/mmm (No. 123)
Unique sites:
Mn  0.000  0.000  0.000
Fe  0.500  0.500  0.000
Ru  0.000  0.500  0.500
Br  0.000  0.000  0.500

## Properties
**Formation energy (no corrections)**: 7.56 eV/f.u.
**Size of the total moment**: 8.5 μB per formula unit
**DOS(E_F)**: 6.907 states/eV per cell

---

(5)
Compound: MnFeSeBr2
Source: the Alexandria database
Functional: PBE
Structure: relaxed

a b c (Å): 5.003 5.003 5.136
angles (deg): 90.00 90.00 90.00
Space group P4/mmm (No. 123)
Unique sites:
Mn  0.000  0.000  0.000
Fe  0.500  0.500  0.500
Se  0.000  0.000  0.500
Br  0.000  0.500  0.000

## Properties
**Formation energy (no corrections)**: 1.77 eV/f.u.
**Size of the total moment**: 0.7 μB per formula unit
**Offset from the most stable computed form**: 0 meV/atom
**DOS(E_F)**: 7.526 states/eV per cell

---

(6)
Compound: MnFeSeBr2
Source: the Alexandria database
Functional: PBE
Structure: relaxed

a b c (Å): 4.978 4.978 4.592
angles (deg): 90.00 90.00 90.00
Space group P4/mmm (No. 123)
Unique sites:
Mn  0.000  0.000  0.000
Fe  0.500  0.500  0.500
Se  0.500  0.500  0.000
Br  0.000  0.500  0.500

## Properties
**Formation energy (no corrections)**: 1.85 eV/f.u.
**Size of the total moment**: 5.3 μB per formula unit
**Offset from the most stable computed form**: 16 meV/atom
**DOS(E_F)**: 6.868 states/eV per cell